Density functional theory data (PBE) for a relaxed structure of Ba3YW.

Summary:
Energy relative to the lowest polymorph listed for this composition (eV/f.u.): 0.00
Magnetization (μB per atom): 0.0000
Formation energy from the elements (eV/atom): 1.11
V (Å³ per cell): 223.6

Cell lengths 6.0691, 6.0691, 6.0691 Å; angles 90.00, 90.00, 90.00 degrees
Closest atoms and distances in Å follow each position.
Atoms (fractional coordinates):
W1 0.0000 0.0000 0.0000  6 Ba 3.03
Y1 0.5000 0.5000 0.5000  12 Ba 4.29
Ba1 0.0000 0.5000 0.0000  2 W 3.03
Ba2 0.0000 0.0000 0.5000  2 W 3.03
Ba3 0.5000 0.0000 0.0000  2 W 3.03

Density functional theory data (PBE) for a relaxed structure of Sn5Hg12Bi3.

Summary:
Magnetization (μB per atom): 0.0000
Formation energy from the elements (eV/atom): 0.14
V (Å³ per cell): 2601.0

Cell lengths 15.0055, 15.0055, 15.0055 Å; angles 109.47, 109.47, 109.47 degrees
Closest atoms and distances in Å follow each position.
Atoms (fractional coordinates):
Sn1 0.5000 0.5000 0.0000  6 Hg 2.94
Hg1 0.2736 0.8716 0.9452  2 Sn 2.82-2.94, 1 Bi 3.06
Hg2 0.2264 0.5548 0.6284  2 Sn 2.82-2.94, 1 Bi 3.06
Sn2 0.6250 0.7500 0.8750  4 Hg 2.82
Hg3 0.5980 0.7264 0.6716  2 Sn 2.82-2.94, 1 Bi 3.06
Sn3 0.1250 0.7500 0.3750  4 Hg 2.82
Hg4 0.8284 0.9020 0.2736  2 Sn 2.82-2.94, 1 Bi 3.06
Hg5 0.6284 0.0548 0.2264  2 Sn 2.82-2.94, 1 Bi 3.06
Bi1 0.1250 0.2500 0.8750  8 Hg 3.06-3.35
Hg6 0.3284 0.7736 0.4020  2 Sn 2.82-2.94, 1 Bi 3.06
Bi2 0.3750 0.6250 0.2500  8 Hg 3.06-3.35
Hg7 0.3284 0.5548 0.4264  2 Sn 2.82-2.94, 1 Bi 3.06
Sn4 0.1250 0.3750 0.2500  4 Hg 2.82
Hg8 0.9020 0.8284 0.7736  2 Sn 2.82-2.94, 1 Bi 3.06
Hg9 0.9452 0.3716 0.2736  2 Sn 2.82-2.94, 1 Bi 3.06
Hg10 0.7264 0.1284 0.0548  2 Sn 2.82-2.94, 1 Bi 3.06
Hg11 0.5548 0.2264 0.1284  2 Sn 2.82-2.94, 1 Bi 3.06
Bi3 0.2500 0.6250 0.8750  8 Hg 3.06-3.35
Hg12 0.1716 0.0736 0.9452  2 Sn 2.82-2.94, 1 Bi 3.06
Bi4 0.7500 0.8750 0.6250  8 Hg 3.06-3.35
Hg13 0.8284 0.9264 0.0548  2 Sn 2.82-2.94, 1 Bi 3.06
Hg14 0.0980 0.1716 0.2264  2 Sn 2.82-2.94, 1 Bi 3.06
Hg15 0.9020 0.0736 0.6284  2 Sn 2.82-2.94, 1 Bi 3.06
Hg16 0.0548 0.6284 0.7264  2 Sn 2.82-2.94, 1 Bi 3.06
Hg17 0.4264 0.0548 0.3284  2 Sn 2.82-2.94, 1 Bi 3.06
Hg18 0.9264 0.0980 0.8716  2 Sn 2.82-2.94, 1 Bi 3.06
Hg19 0.4452 0.6716 0.0736  2 Sn 2.82-2.94, 1 Bi 3.06
Hg20 0.7736 0.3284 0.9020  2 Sn 2.82-2.94, 1 Bi 3.06
Hg21 0.9452 0.5736 0.1716  2 Sn 2.82-2.94, 1 Bi 3.06
Sn5 0.6250 0.8750 0.2500  4 Hg 2.82
Hg22 0.5736 0.6284 0.4020  2 Sn 2.82-2.94, 1 Bi 3.06
Hg23 0.4452 0.7736 0.8716  2 Sn 2.82-2.94, 1 Bi 3.06
Sn6 0.3750 0.1250 0.7500  4 Hg 2.82
Hg24 0.1716 0.0980 0.7264  2 Sn 2.82-2.94, 1 Bi 3.06
Sn7 0.0000 0.0000 0.0000  6 Hg 2.94
Sn8 0.8750 0.6250 0.7500  4 Hg 2.82
Hg25 0.4264 0.3716 0.5980  2 Sn 2.82-2.94, 1 Bi 3.06
Bi5 0.6250 0.3750 0.7500  8 Hg 3.06-3.35
Hg26 0.3716 0.4264 0.0980  2 Sn 2.82-2.94, 1 Bi 3.06
Hg27 0.4020 0.2736 0.3284  2 Sn 2.82-2.94, 1 Bi 3.06
Sn9 0.3750 0.2500 0.1250  4 Hg 2.82
Sn10 0.0000 0.0000 0.5000  6 Hg 2.94
Hg28 0.1284 0.7264 0.5548  2 Sn 2.82-2.94, 1 Bi 3.06
Hg29 0.6716 0.4452 0.5736  2 Sn 2.82-2.94, 1 Bi 3.06
Hg30 0.7736 0.4452 0.3716  2 Sn 2.82-2.94, 1 Bi 3.06
Sn11 0.0000 0.5000 0.0000  6 Hg 2.94
Hg31 0.6716 0.2264 0.5980  2 Sn 2.82-2.94, 1 Bi 3.06
Hg32 0.8716 0.5980 0.9264  2 Sn 2.82-2.94, 1 Bi 3.06
Hg33 0.0548 0.4264 0.8284  2 Sn 2.82-2.94, 1 Bi 3.06
Bi6 0.8750 0.1250 0.2500  8 Hg 3.06-3.35
Bi7 0.1250 0.8750 0.7500  8 Hg 3.06-3.35
Hg34 0.2264 0.6716 0.0980  2 Sn 2.82-2.94, 1 Bi 3.06
Hg35 0.0736 0.1716 0.4452  2 Sn 2.82-2.94, 1 Bi 3.06
Bi8 0.2500 0.1250 0.3750  8 Hg 3.06-3.35
Sn12 0.2500 0.8750 0.1250  4 Hg 2.82
Hg36 0.1284 0.4020 0.0736  2 Sn 2.82-2.94, 1 Bi 3.06
Hg37 0.3716 0.9452 0.7736  2 Sn 2.82-2.94, 1 Bi 3.06
Sn13 0.5000 0.5000 0.5000  6 Hg 2.94
Hg38 0.5736 0.9452 0.6716  2 Sn 2.82-2.94, 1 Bi 3.06
Sn14 0.7500 0.1250 0.8750  4 Hg 2.82
Hg39 0.9264 0.8284 0.5548  2 Sn 2.82-2.94, 1 Bi 3.06
Sn15 0.8750 0.2500 0.6250  4 Hg 2.82
Bi9 0.6250 0.2500 0.3750  8 Hg 3.06-3.35
Bi10 0.8750 0.7500 0.1250  8 Hg 3.06-3.35
Bi11 0.3750 0.7500 0.6250  8 Hg 3.06-3.35
Sn16 0.5000 0.0000 0.5000  6 Hg 2.94
Hg40 0.8716 0.2736 0.4452  2 Sn 2.82-2.94, 1 Bi 3.06
Sn17 0.5000 0.0000 0.0000  6 Hg 2.94
Hg41 0.5980 0.8716 0.4264  2 Sn 2.82-2.94, 1 Bi 3.06
Hg42 0.6284 0.5736 0.9020  2 Sn 2.82-2.94, 1 Bi 3.06
Hg43 0.7264 0.5980 0.1716  2 Sn 2.82-2.94, 1 Bi 3.06
Bi12 0.7500 0.3750 0.1250  8 Hg 3.06-3.35
Sn18 0.2500 0.3750 0.6250  4 Hg 2.82
Hg44 0.0736 0.9020 0.1284  2 Sn 2.82-2.94, 1 Bi 3.06
Sn19 0.0000 0.5000 0.5000  6 Hg 2.94
Hg45 0.2736 0.4020 0.8284  2 Sn 2.82-2.94, 1 Bi 3.06
Sn20 0.7500 0.6250 0.3750  4 Hg 2.82
Hg46 0.5548 0.3284 0.9264  2 Sn 2.82-2.94, 1 Bi 3.06
Hg47 0.0980 0.9264 0.3716  2 Sn 2.82-2.94, 1 Bi 3.06
Hg48 0.4020 0.1284 0.5736  2 Sn 2.82-2.94, 1 Bi 3.06

Density functional theory data (PBE) for a relaxed structure of Mn2CuAs.

Summary:
Magnetization (μB per atom): 0.2500
Formation energy from the elements (eV/atom): 0.13
V (Å³ per cell): 53.8

Cell lengths 4.2369, 4.2369, 4.2369 Å; angles 60.00, 60.00, 60.00 degrees
Closest atoms and distances in Å follow each position.
Atoms (fractional coordinates):
As1 0.5000 0.5000 0.5000  4 Cu 2.59, 4 Mn 2.59
Mn1 0.7500 0.7500 0.7500  4 Mn 2.59, 4 As 2.59
Mn2 0.0000 0.0000 0.0000  4 Mn 2.59, 4 Cu 2.59
Cu1 0.2500 0.2500 0.2500  4 As 2.59, 4 Mn 2.59

Density functional theory data (PBE) for a relaxed structure of Ce4SnRu4.

Summary:
Magnetization (μB per atom): 0.0000
Formation energy from the elements (eV/atom): -0.26
V (Å³ per cell): 206.6

Cell lengths 5.3030, 6.7819, 6.7819 Å; angles 81.21, 66.99, 66.99 degrees
Closest atoms and distances in Å follow each position.
Atoms (fractional coordinates):
Ce1 0.1986 0.3887 0.2142  5 Ru 2.66-2.91
Ru1 0.8961 0.8219 0.3860  1 Sn 2.65, 5 Ce 2.66-2.91
Ce2 0.4127 0.7858 0.3887  5 Ru 2.66-2.91
Ru2 0.2821 0.6140 0.8219  1 Sn 2.65, 5 Ce 2.66-2.91
Ru3 0.1039 0.1781 0.6140  1 Sn 2.65, 5 Ce 2.66-2.91
Sn1 0.0000 0.0000 0.0000  4 Ru 2.65
Ce3 0.5873 0.2142 0.6113  5 Ru 2.66-2.91
Ru4 0.7179 0.3860 0.1781  1 Sn 2.65, 5 Ce 2.66-2.91
Ce4 0.8014 0.6113 0.7858  5 Ru 2.66-2.91

Density functional theory data (PBE) for a relaxed structure of PuAlTcOs.

Summary:
Magnetization (μB per atom): 0.9040
Formation energy from the elements (eV/atom): -0.19
V (Å³ per cell): 66.1

Cell lengths 4.5388, 4.5388, 4.5388 Å; angles 60.00, 60.00, 60.00 degrees
Closest atoms and distances in Å follow each position.
Atoms (fractional coordinates):
Pu1 0.5000 0.5000 0.5000  4 Tc 2.78, 4 Os 2.78
Os1 0.7500 0.7500 0.7500  4 Al 2.78, 4 Pu 2.78
Tc1 0.2500 0.2500 0.2500  4 Al 2.78, 4 Pu 2.78
Al1 0.0000 0.0000 0.0000  4 Tc 2.78, 4 Os 2.78

Density functional theory data (PBE) for a relaxed structure of NaYHg.

Summary:
Magnetization (μB per atom): 0.0628
Formation energy from the elements (eV/atom): -0.10
V (Å³ per cell): 181.7

Cell lengths 3.6491, 3.6491, 13.8859 Å; angles 97.55, 97.55, 90.00 degrees
Closest atoms and distances in Å follow each position.
Atoms (fractional coordinates):
Hg1 0.8727 0.8727 0.7455  4 Y 3.08, 4 Na 3.26
Y1 0.5655 0.5655 0.1309  4 Hg 3.08
Y2 0.4345 0.4345 0.8691  4 Hg 3.08
Na1 0.7000 0.7000 0.4000  4 Hg 3.26
Na2 0.3000 0.3000 0.6000  4 Hg 3.26
Hg2 0.1273 0.1273 0.2545  4 Y 3.08, 4 Na 3.26

Density functional theory data (PBE) for a relaxed structure of LiPmBe2H8.

Summary:
DFT total energy (eV per atom): -3.7181
Magnetization (μB per atom): 0.0000
V (Å³ per cell): 108.8

Cell lengths 4.3838, 4.3838, 6.5379 Å; angles 90.00, 90.00, 120.00 degrees
Closest atoms and distances in Å follow each position.
Atoms (fractional coordinates):
H1 0.6667 0.3333 0.0168  1 Be 1.49
H2 0.2727 0.9451 0.7082  1 Be 1.41
Be1 0.6667 0.3333 0.2449  4 H 1.41-1.49
H3 0.7273 0.0549 0.2918  1 Be 1.41
Li1 0.0000 0.0000 0.5000  6 H 1.90
H4 0.6724 0.7273 0.7082  1 Be 1.41
H5 0.0549 0.3276 0.7082  1 Be 1.41
H6 0.3333 0.6667 0.9832  1 Be 1.49
Be2 0.3333 0.6667 0.7551  4 H 1.41-1.49
H7 0.3276 0.2727 0.2918  1 Be 1.41
H8 0.9451 0.6724 0.2918  1 Be 1.41
Pm1 0.0000 0.0000 0.0000  12 H 2.33-2.53

Density functional theory data (PBE) for a relaxed structure of YCrOs2.

Summary:
Energy relative to the lowest polymorph listed for this composition (eV/f.u.): 0.00
Magnetization (μB per atom): 0.0454
Formation energy from the elements (eV/atom): 0.14
V (Å³ per cell): 65.7

Cell lengths 2.9897, 2.9897, 7.3463 Å; angles 90.00, 90.00, 90.00 degrees
Closest atoms and distances in Å follow each position.
Atoms (fractional coordinates):
Os1 0.0000 0.0000 0.9466  4 Cr 2.56
Cr1 0.5000 0.5000 0.7500  8 Os 2.56
Y1 0.5000 0.5000 0.2500  4 Y 2.99, 8 Os 3.07
Os2 0.0000 0.0000 0.5534  4 Cr 2.56

Density functional theory data (PBE) for a relaxed structure of PrTl2Sb2.

Summary:
E_form (uncorrected) (meV per atom): -470
Magnetization (μB per atom): 0.0000
V (Å³ per cell): 309.7

Cell lengths 4.5380, 4.4848, 15.3853 Å; angles 90.00, 98.48, 90.00 degrees
Closest atoms and distances in Å follow each position.
Atoms (fractional coordinates):
Pr1 0.3316 0.2500 0.6633  8 Sb 3.33-3.36
Tl1 0.5582 0.2500 0.1164  4 Tl 3.19, 2 Sb 3.30
Tl2 0.4418 0.7500 0.8836  4 Tl 3.19, 2 Sb 3.30
Tl3 0.0525 0.7500 0.1050  4 Tl 3.19, 2 Sb 3.41
Sb1 0.8632 0.7500 0.7264  4 Tl 3.30-3.41, 4 Pr 3.33
Sb2 0.2500 0.7500 0.5000  4 Sb 3.19, 4 Pr 3.35-3.36
Sb3 0.1368 0.2500 0.2736  4 Tl 3.30-3.41, 4 Pr 3.33
Sb4 0.7500 0.2500 0.5000  4 Sb 3.19, 4 Pr 3.35-3.36
Tl4 0.9475 0.2500 0.8950  4 Tl 3.19, 2 Sb 3.41
Pr2 0.6684 0.7500 0.3367  8 Sb 3.33-3.36

Density functional theory data (PBE) for a relaxed structure of SmGdAlHg.

Summary:
Magnetization (μB per atom): 1.9679
Formation energy from the elements (eV/atom): -0.41
V (Å³ per cell): 104.4

Cell lengths 5.2860, 5.2860, 5.2860 Å; angles 60.00, 60.00, 60.00 degrees
Closest atoms and distances in Å follow each position.
Atoms (fractional coordinates):
Sm1 0.5000 0.5000 0.5000  4 Hg 3.24, 4 Al 3.24
Al1 0.2500 0.2500 0.2500  4 Gd 3.24, 4 Sm 3.24
Hg1 0.7500 0.7500 0.7500  4 Sm 3.24, 4 Gd 3.24
Gd1 0.0000 0.0000 0.0000  4 Al 3.24, 4 Hg 3.24

Density functional theory data (PBE) for a relaxed structure of Nb4InSe8.

Summary:
E_form (uncorrected) (meV per atom): -800
Energy relative to the lowest polymorph listed for this composition (eV/f.u.): 0.00
Magnetization (μB per atom): 0.0231
V (Å³ per cell): 305.4

Cell lengths 7.5591, 7.5591, 7.5591 Å; angles 60.00, 60.00, 60.00 degrees
Closest atoms and distances in Å follow each position.
Atoms (fractional coordinates):
Se1 0.1715 0.6095 0.6095  1 In 2.60, 3 Nb 2.81
Nb1 0.3522 0.3522 0.9434  6 Se 2.56-2.81
Se2 0.6095 0.6095 0.1715  1 In 2.60, 3 Nb 2.81
Nb2 0.9434 0.3522 0.3522  6 Se 2.56-2.81
Nb3 0.3522 0.9434 0.3522  6 Se 2.56-2.81
In1 0.7500 0.7500 0.7500  4 Se 2.60
Se3 0.1168 0.6495 0.1168  3 Nb 2.56
Se4 0.6495 0.1168 0.1168  3 Nb 2.56
Se5 0.1168 0.1168 0.6495  3 Nb 2.56
Se6 0.6095 0.6095 0.6095  1 In 2.60, 3 Nb 2.81
Nb4 0.3522 0.3522 0.3522  6 Se 2.56-2.81
Se7 0.6095 0.1715 0.6095  1 In 2.60, 3 Nb 2.81
Se8 0.1168 0.1168 0.1168  3 Nb 2.56

Density functional theory data (PBE) for a relaxed structure of SrZn2Cl.

Summary:
E_form (uncorrected) (meV per atom): -708
Energy relative to the lowest polymorph listed for this composition (eV/f.u.): 0.12
Magnetization (μB per atom): 0.0001
V (Å³ per cell): 116.5

Cell lengths 3.8199, 3.8228, 8.0174 Å; angles 84.49, 90.00, 90.00 degrees
Closest atoms and distances in Å follow each position.
Atoms (fractional coordinates):
Zn1 0.5000 0.3325 0.0844  4 Zn 2.70
Zn2 0.0000 0.8329 0.0846  4 Zn 2.70
Cl1 0.0000 0.4328 0.5883  4 Sr 2.97
Sr1 0.5000 0.9018 0.7427  4 Cl 2.97